VASP calculation (PBE) on an optimized crystal structure of La4Ga2O.

```
La4Ga2O
1.0
-2.438 2.438 8.188
2.438 -2.438 8.188
2.438 2.438 -8.188
La Ga O
4 2 1
Cartesian
2.438 0.000 0.000
0.000 0.000 2.913
0.000 2.438 0.000
0.000 0.000 13.463
0.000 0.000 5.991
0.000 0.000 10.385
0.000 0.000 0.000
```

distance to the lowest polymorph of the same formula	0.0	meV per atom
uncorrected energy	-5.493	eV per atom
formation energy from raw total energies	-1.104	eV per atom